1.
Below is Ce3TeH3 after structural relaxation, with properties calculated at the PBE level.

Lattice parameters (Å, degrees): 6.3916 6.3916 6.3916 90.00 90.00 90.00
With the nearest neighbours (Å) after each atom.
Sites, in units of the cell vectors:
Ce  0.0000  0.2500  0.5000  4 H 2.26
Ce  0.0000  0.7500  0.5000  4 H 2.26
Ce  0.2500  0.5000  0.0000  4 H 2.26
Ce  0.5000  0.0000  0.2500  4 H 2.26
Ce  0.5000  0.0000  0.7500  4 H 2.26
Ce  0.7500  0.5000  0.0000  4 H 2.26
Te  0.0000  0.0000  0.0000  12 H 3.57, 12 Ce 3.57
Te  0.5000  0.5000  0.5000  12 H 3.57, 12 Ce 3.57
H  0.0000  0.5000  0.2500  4 Ce 2.26
H  0.0000  0.5000  0.7500  4 Ce 2.26
H  0.2500  0.0000  0.5000  4 Ce 2.26
H  0.5000  0.2500  0.0000  4 Ce 2.26
H  0.5000  0.7500  0.0000  4 Ce 2.26
H  0.7500  0.0000  0.5000  4 Ce 2.26

Values from the calculation:
The value obtained for the density is 7008 kg/m3. For the energy above the most stable polymorph in this dataset, the calculation gives 30 meV/atom. Its total energy is -5.015 eV per atom.

=====

2.
Below is Pr3Sb2Pd9 after structural relaxation, with properties calculated at the PBE level.

Lattice parameters (Å, degrees): 8.7231 8.7231 8.7231 153.47 101.72 84.39
With the nearest neighbours (Å) after each atom.
Sites, in units of the cell vectors:
Pr  0.0000  0.0000  0.0000  8 Pd 2.98
Pr  0.2906  0.2906  0.0000  10 Pd 3.07-3.37, 2 Sb 3.38
Pr  0.7094  0.7094  0.0000  10 Pd 3.07-3.37, 2 Sb 3.38
Sb  0.3155  0.5000  0.8155  8 Pd 2.74-2.90
Sb  0.6845  0.5000  0.1845  8 Pd 2.74-2.90
Pd  0.0116  0.6344  0.3772  4 Pd 2.71-2.78, 1 Sb 2.74, 2 Pr 2.98
Pd  0.1338  0.8381  0.2957  4 Pd 2.78-3.07, 2 Sb 2.90, 2 Pr 3.07
Pd  0.2572  0.6344  0.6228  4 Pd 2.71-2.78, 1 Sb 2.74, 2 Pr 2.98
Pd  0.4575  0.1619  0.2957  4 Pd 2.78-3.07, 2 Sb 2.90, 2 Pr 3.07
Pd  0.5000  0.0000  0.5000  4 Sb 2.85, 4 Pd 3.07
Pd  0.5425  0.8381  0.7043  4 Pd 2.78-3.07, 2 Sb 2.90, 2 Pr 3.07
Pd  0.7428  0.3656  0.3772  4 Pd 2.71-2.78, 1 Sb 2.74, 2 Pr 2.98
Pd  0.8662  0.1619  0.7043  4 Pd 2.78-3.07, 2 Sb 2.90, 2 Pr 3.07
Pd  0.9884  0.3656  0.6228  4 Pd 2.71-2.78, 1 Sb 2.74, 2 Pr 2.98

Values from the calculation:
The value obtained for the density is 9464 kg/m3. Its total energy is -5.594 eV per atom.

=====

3.
Below is MnCrCo2 after structural relaxation, with properties calculated at the PBE level.

Lattice parameters (Å, degrees): 8.1871 8.1871 8.1871 17.42 17.42 17.42
With the nearest neighbours (Å) after each atom.
Sites, in units of the cell vectors:
Mn  0.0000  0.0000  0.0000  6 Co 2.42-2.44, 6 Mn 2.48
Cr  0.1656  0.1656  0.1656  6 Cr 2.48, 6 Co 2.50-2.52
Co  0.5848  0.5848  0.5848  3 Mn 2.44, 6 Co 2.48, 3 Cr 2.52
Co  0.7473  0.7473  0.7473  3 Mn 2.42, 6 Co 2.48, 3 Cr 2.50

Values from the calculation:
The value obtained for the density is 8701 kg/m3. Its total energy is -8.155 eV per atom. The value obtained for the formation energy is 0.0961 eV per atom.

=====

4.
Below is ThCuSi2Au after structural relaxation, with properties calculated at the PBE level.

Lattice parameters (Å, degrees): 5.9264 5.9264 5.9264 138.50 138.50 60.14
With the nearest neighbours (Å) after each atom.
Sites, in units of the cell vectors:
Th  0.0000  0.0000  0.0000  8 Si 3.19, 4 Cu 3.31, 4 Au 3.31
Cu  0.7500  0.2500  0.5000  4 Si 2.52
Si  0.3853  0.3853  0.0000  1 Si 2.35, 2 Cu 2.52, 2 Au 2.52
Si  0.6147  0.6147  0.0000  1 Si 2.35, 2 Au 2.52, 2 Cu 2.52
Au  0.2500  0.7500  0.5000  4 Si 2.52

Values from the calculation:
The value obtained for the density is 10073 kg/m3. Its total energy is -5.693 eV per atom.

=====

5.
Below is NdCdGaPt after structural relaxation, with properties calculated at the PBE level.

Lattice parameters (Å, degrees): 4.9287 4.9287 4.9287 60.00 60.00 60.00
With the nearest neighbours (Å) after each atom.
Sites, in units of the cell vectors:
Nd  0.0000  0.0000  0.0000  4 Ga 3.02, 4 Pt 3.02
Cd  0.5000  0.5000  0.5000  4 Ga 3.02, 4 Pt 3.02
Ga  0.7500  0.7500  0.7500  4 Nd 3.02, 4 Cd 3.02
Pt  0.2500  0.2500  0.2500  4 Cd 3.02, 4 Nd 3.02

Values from the calculation:
The value obtained for the density is 10228 kg/m3. Its total energy is -4.278 eV per atom. The value obtained for the formation energy is -0.5904 eV per atom.

=====

6.
Below is Na4Er3GeSe8 after structural relaxation, with properties calculated at the PBE level.

Lattice parameters (Å, degrees): 8.4254 8.4254 8.4254 57.91 57.91 57.91
With the nearest neighbours (Å) after each atom.
Sites, in units of the cell vectors:
Na  0.0000  0.0000  0.0000  6 Se 3.11
Na  0.0000  0.5000  0.5000  6 Se 3.02-3.03
Na  0.5000  0.0000  0.5000  6 Se 3.02-3.03
Na  0.5000  0.5000  0.0000  6 Se 3.02-3.03
Er  0.0000  0.0000  0.5000  6 Se 2.85
Er  0.0000  0.5000  0.0000  6 Se 2.85
Er  0.5000  0.0000  0.0000  6 Se 2.85
Ge  0.5000  0.5000  0.5000  6 Se 2.76
Se  0.2431  0.2431  0.2431  3 Er 2.85, 3 Na 3.02
Se  0.2504  0.7359  0.7359  1 Ge 2.76, 2 Er 2.85, 2 Na 3.03
Se  0.2642  0.2641  0.7496  1 Ge 2.76, 2 Er 2.85, 2 Na 3.03
Se  0.2642  0.7496  0.2642  1 Ge 2.76, 2 Er 2.85, 2 Na 3.03
Se  0.7359  0.2504  0.7359  1 Ge 2.76, 2 Er 2.85, 2 Na 3.03
Se  0.7359  0.7359  0.2504  1 Ge 2.76, 2 Er 2.85, 2 Na 3.03
Se  0.7496  0.2641  0.2641  1 Ge 2.76, 2 Er 2.85, 2 Na 3.03
Se  0.7569  0.7569  0.7569  3 Er 2.85, 3 Na 3.02

Values from the calculation:
The value obtained for the density is 5353 kg/m3. Its total energy is -4.613 eV per atom.

=====

7.
Below is Ce2Ho5Bi4 after structural relaxation, with properties calculated at the PBE level.

Lattice parameters (Å, degrees): 11.3287 11.3287 8.0820 106.48 106.48 21.39
With the nearest neighbours (Å) after each atom.
Sites, in units of the cell vectors:
Ce  0.2231  0.2231  0.3974  2 Ce 2.73
Ce  0.7769  0.7769  0.6026  2 Ce 2.73
Ho  0.0000  0.0000  0.0000  4 Bi 3.11
Ho  0.3329  0.3329  0.9774  4 Bi 3.09-3.28
Ho  0.3987  0.3987  0.5405  4 Bi 3.04-3.29
Ho  0.6013  0.6013  0.4595  4 Bi 3.04-3.29
Ho  0.6671  0.6671  0.0226  4 Bi 3.09-3.28
Bi  0.1848  0.1848  0.7482  5 Ho 3.16-3.29, 3 Ce 3.19-3.38
Bi  0.4649  0.4649  0.2406  5 Ho 3.04-3.18
Bi  0.5351  0.5351  0.7594  5 Ho 3.04-3.18
Bi  0.8152  0.8152  0.2518  5 Ho 3.16-3.29, 3 Ce 3.19-3.38

Values from the calculation:
The value obtained for the density is 8897 kg/m3. Its total energy is -4.900 eV per atom. The value obtained for the formation energy is -0.3287 eV per atom.

=====

8.
Below is CaB3Te after structural relaxation, with properties calculated at the PBE level.

Lattice parameters (Å, degrees): 4.5176 4.5176 4.5176 90.00 90.00 90.00
With the nearest neighbours (Å) after each atom.
Sites, in units of the cell vectors:
Ca  0.0000  0.0000  0.0000  12 B 3.19
B  0.0000  0.5000  0.5000  2 Te 2.26
B  0.5000  0.0000  0.5000  2 Te 2.26
B  0.5000  0.5000  0.0000  2 Te 2.26
Te  0.5000  0.5000  0.5000  6 B 2.26

Values from the calculation:
The value obtained for the density is 3604 kg/m3. For the energy above the most stable polymorph in this dataset, the calculation gives 0 meV/atom. Its total energy is -3.394 eV per atom.

=====

Question: Among the records above, which one has the highest density?
Answer: NdCdGaPt